The following is a GGA-PBE calculation of crystalline Ca2PmCdS4 at its relaxed geometry, from Alexandria.

* formation energy from raw total energies: -13.22 eV per formula unit

a = 6.8949 Å, b = 4.0057 Å, c = 7.1260 Å
α = 90.00°, β = 109.83°, γ = 90.00°
Closest atoms and distances in Å follow each position.
Positions (direct):
Ca: 0.0000 0.0000 0.0000  6 S 2.84-2.90
Ca: 0.0000 0.5000 0.5000  6 S 2.86
Pm: 0.5000 0.0000 0.5000  6 S 2.84
Cd: 0.5000 0.5000 0.0000  6 S 2.82-2.88
S: 0.2486 0.5000 0.2501  3 Ca 2.84-2.86, 2 Pm 2.84, 1 Cd 2.88
S: 0.2568 0.0000 0.7508  2 Cd 2.82, 1 Pm 2.84, 3 Ca 2.86-2.90
S: 0.7432 0.0000 0.2492  2 Cd 2.82, 1 Pm 2.84, 3 Ca 2.86-2.90
S: 0.7514 0.5000 0.7499  3 Ca 2.84-2.86, 2 Pm 2.84, 1 Cd 2.88

***

The following is a GGA-PBE calculation of crystalline Ca3Pm3CdS8 at its relaxed geometry, from Alexandria.

* formation energy from raw total energies: -27.72 eV per formula unit

a = 8.0654 Å, b = 8.0654 Å, c = 8.0654 Å
α = 59.69°, β = 59.69°, γ = 59.69°
Closest atoms and distances in Å follow each position.
Positions (direct):
Ca: 0.0000 0.5000 0.5000  6 S 2.84-2.86
Ca: 0.5000 0.0000 0.5000  6 S 2.84-2.86
Ca: 0.5000 0.5000 0.0000  6 S 2.84-2.86
Pm: 0.0000 0.0000 0.5000  6 S 2.83-2.85
Pm: 0.0000 0.5000 0.0000  6 S 2.83-2.85
Pm: 0.5000 0.0000 0.0000  6 S 2.83-2.85
Cd: 0.5000 0.5000 0.5000  6 S 2.78
S: 0.2503 0.2503 0.2503  3 Ca 2.84, 3 Pm 2.85
S: 0.2534 0.7445 0.7445  1 Cd 2.78, 2 Pm 2.83, 2 Ca 2.86
S: 0.2555 0.2555 0.7466  1 Cd 2.78, 2 Pm 2.83, 2 Ca 2.86
S: 0.2555 0.7466 0.2555  1 Cd 2.78, 2 Pm 2.83, 2 Ca 2.86
S: 0.7445 0.2534 0.7445  1 Cd 2.78, 2 Pm 2.83, 2 Ca 2.86
S: 0.7445 0.7445 0.2534  1 Cd 2.78, 2 Pm 2.83, 2 Ca 2.86
S: 0.7466 0.2555 0.2555  1 Cd 2.78, 2 Pm 2.83, 2 Ca 2.86
S: 0.7497 0.7497 0.7497  3 Ca 2.84, 3 Pm 2.85

***

The following is a GGA-PBE calculation of crystalline CaPmCdSb at its relaxed geometry, from Alexandria.

* formation energy from raw total energies: -2.23 eV per formula unit

a = 5.4210 Å, b = 5.4210 Å, c = 5.4210 Å
α = 60.00°, β = 60.00°, γ = 60.00°
Closest atoms and distances in Å follow each position.
Positions (direct):
Ca: 0.0000 0.0000 0.0000  4 Cd 3.32, 4 Sb 3.32
Pm: 0.5000 0.5000 0.5000  4 Cd 3.32, 4 Sb 3.32
Cd: 0.7500 0.7500 0.7500  4 Pm 3.32, 4 Ca 3.32
Sb: 0.2500 0.2500 0.2500  4 Pm 3.32, 4 Ca 3.32

***

The following is a GGA-PBE calculation of crystalline CaPmScCd at its relaxed geometry, from Alexandria.

* energy relative to the elements: 6 meV/atom

a = 5.4726 Å, b = 5.4726 Å, c = 5.4726 Å
α = 60.00°, β = 60.00°, γ = 60.00°
Closest atoms and distances in Å follow each position.
Positions (direct):
Ca: 0.0000 0.0000 0.0000  4 Sc 3.35, 4 Cd 3.35
Pm: 0.5000 0.5000 0.5000  4 Cd 3.35, 4 Sc 3.35
Sc: 0.7500 0.7500 0.7500  4 Ca 3.35, 4 Pm 3.35
Cd: 0.2500 0.2500 0.2500  4 Ca 3.35, 4 Pm 3.35

***

The following is a GGA-PBE calculation of crystalline Ca2PmCdSe4 at its relaxed geometry, from Alexandria.

* formation energy from raw total energies: -12.41 eV per formula unit

a = 7.1756 Å, b = 4.1844 Å, c = 7.4774 Å
α = 90.00°, β = 109.63°, γ = 90.00°
Closest atoms and distances in Å follow each position.
Positions (direct):
Ca: 0.0000 0.0000 0.0000  6 Se 2.97-3.04
Ca: 0.0000 0.5000 0.5000  6 Se 2.99
Pm: 0.5000 0.0000 0.5000  6 Se 2.95-2.97
Cd: 0.5000 0.5000 0.0000  6 Se 2.96-3.00
Se: 0.2497 0.5000 0.2507  2 Pm 2.97, 3 Ca 2.97-2.99, 1 Cd 3.00
Se: 0.2557 0.0000 0.7488  1 Pm 2.95, 2 Cd 2.96, 3 Ca 2.99-3.04
Se: 0.7443 0.0000 0.2512  1 Pm 2.95, 2 Cd 2.96, 3 Ca 2.99-3.04
Se: 0.7503 0.5000 0.7493  2 Pm 2.97, 3 Ca 2.97-2.99, 1 Cd 3.00

***

The following is a GGA-PBE calculation of crystalline CaPmCdSi at its relaxed geometry, from Alexandria.

* formation energy from raw total energies: -1.40 eV per formula unit

a = 5.2243 Å, b = 5.2243 Å, c = 5.2243 Å
α = 60.00°, β = 60.00°, γ = 60.00°
Closest atoms and distances in Å follow each position.
Positions (direct):
Ca: 0.0000 0.0000 0.0000  4 Cd 3.20, 4 Si 3.20
Pm: 0.5000 0.5000 0.5000  4 Cd 3.20, 4 Si 3.20
Cd: 0.2500 0.2500 0.2500  4 Ca 3.20, 4 Pm 3.20
Si: 0.7500 0.7500 0.7500  4 Ca 3.20, 4 Pm 3.20

***

Fermi-level density of states values (in states/eV/atom) by entry order: 0.406; 0.266; 1.130; 0.949; 0.474; 0.874.